A relaxed Y2CdTc crystal. Source: the Alexandria database, functional GGA-PBEsol.

Results
The formation energy comes out at 74 kJ/mol of formula units. The density comes out at 7.7 g/cm³. Its magnetic moment is 0.0 μB/cell.

Geometry as CIF:
```
data_Y2CdTc
_cell_length_a 6.930
_cell_length_b 6.930
_cell_length_c 6.930
_cell_angle_alpha 90.00
_cell_angle_beta 90.00
_cell_angle_gamma 90.00
_symmetry_space_group_name_H-M 'F -4 3 m'
_symmetry_Int_Tables_number 216
_symmetry_space_group_name_Hall 'F -4 2 3'
loop_
_atom_site_label
_atom_site_type_symbol
_atom_site_fract_x
_atom_site_fract_y
_atom_site_fract_z
Y1 Y 0.000 0.000 0.000
Y2 Y 0.250 0.250 0.250
Cd1 Cd 0.000 0.000 0.500
Tc1 Tc 0.250 0.250 0.750
```